P) First-principles (GGA-PBE) data for a geometry-optimized HoGePO structure, as listed in the Open Quantum Materials Database.

Unit cell a=3.7063 b=6.1564 c=6.8133 alpha=90.00 beta=90.00 gamma=90.00
Last column: nearest neighbours and their distance in Å.
Space group Pmc2_1 (No. 26)
One atom of each set of equivalent atoms:
Ho 0.0000 0.2333 0.0000 [2 per cell]  2 O 2.17
Ge 0.5000 0.3788 0.5909 [2 per cell]  1 O 1.90
P 0.0000 0.2199 0.4195 [2 per cell]  2 Ge 2.40
O 0.5000 0.2277 0.8345 [2 per cell]  1 Ge 1.90

Properties
Magnetization = 0.001 μB per atom

***

Q) First-principles (GGA-PBE) data for a geometry-optimized HoGePO structure, as listed in the Open Quantum Materials Database.

Unit cell a=4.0006 b=4.0006 c=8.9148 alpha=90.00 beta=90.00 gamma=90.00
Last column: nearest neighbours and their distance in Å.
Space group P4/nmm (No. 129, origin choice 2)
One atom of each set of equivalent atoms:
Ho 0.2500 0.2500 0.1160 [2 per cell]  4 O 2.25
Ge 0.2500 0.7500 0.5000 [2 per cell]  4 P 2.65, 4 Ge 2.83
P 0.2500 0.2500 0.6947 [2 per cell]  4 Ge 2.65
O 0.2500 0.7500 0.0000 [2 per cell]  4 Ho 2.25

Properties
Magnetization = 0.000 μB per atom

***

Which of them is the most stable, and which is the least stable? Q) and P), in that order.

***

P) First-principles (GGA-PBE) data for a geometry-optimized HoGePO structure, as listed in the Open Quantum Materials Database.

Unit cell a=4.0982 b=5.6343 c=6.0618 alpha=90.00 beta=90.00 gamma=90.00
Last column: nearest neighbours and their distance in Å.
Space group Pmc2_1 (No. 26)
One atom of each set of equivalent atoms:
Ho 0.0000 0.2339 0.0000 [2 per cell]  2 O 2.21-2.24
Ge 0.5000 0.3539 0.4089 [2 per cell]  2 O 2.14
P 0.5000 0.0613 0.7133 [2 per cell]  2 Ge 2.47-2.62
O 0.0000 0.4164 0.3234 [2 per cell]  2 Ge 2.14, 2 Ho 2.21-2.24

Properties
Magnetization = 0.000 μB per atom

***

Q) First-principles (GGA-PBE) data for a geometry-optimized HoGePO structure, as listed in the Open Quantum Materials Database.

Unit cell a=5.5187 b=5.5187 c=4.7618 alpha=90.00 beta=90.00 gamma=90.00
Last column: nearest neighbours and their distance in Å.
Space group P4/nmm (No. 129, origin choice 2)
One atom of each set of equivalent atoms:
Ho 0.2500 0.7500 0.0000 [2 per cell]  2 O 2.38
Ge 0.2500 0.2500 0.4931 [2 per cell]  2 P 2.38-2.39
P 0.2500 0.2500 0.9920 [2 per cell]  2 Ge 2.38-2.39
O 0.2500 0.7500 0.5000 [2 per cell]  2 Ho 2.38

Properties
Magnetization = 0.000 μB per atom

***

Which of them is the most stable, and which is the least stable? P) and Q), in that order.

***

P) First-principles (GGA-PBE) data for a geometry-optimized Ho2SiGeOs structure, as listed in the Open Quantum Materials Database.

Unit cell a=10.6652 b=4.2183 c=10.0897 alpha=90.00 beta=118.45 gamma=90.00
Last column: nearest neighbours and their distance in Å.
Space group C2/m (No. 12)
One atom of each set of equivalent atoms:
Ho 0.0067 0.0000 0.1741 [4 per cell]  2 Ge 2.90, 4 Si 3.00-3.08, 4 Os 3.03-3.17
Ho 0.1855 0.0000 0.6161 [4 per cell]  1 Si 2.89, 5 Ge 3.02-3.18, 2 Os 3.21
Si 0.1434 0.5000 0.0599 [4 per cell]  3 Os 2.41-2.47
Ge 0.0125 0.5000 0.3747 [4 per cell]  1 Os 2.64, 1 Ge 2.67, 2 Ho 2.90
Os 0.2334 0.5000 0.8756 [4 per cell]  3 Si 2.41-2.47, 1 Ge 2.64

Properties
Magnetization = 0.002 μB per atom

***

Q) First-principles (GGA-PBE) data for a geometry-optimized Ho2SiGeOs structure, as listed in the Open Quantum Materials Database.

Unit cell a=10.7360 b=4.2819 c=9.9732 alpha=90.00 beta=118.56 gamma=90.00
Last column: nearest neighbours and their distance in Å.
Space group C2/m (No. 12)
One atom of each set of equivalent atoms:
Ho 0.0059 0.0000 0.1801 [4 per cell]  2 Si 2.91, 4 Ge 3.05-3.12, 4 Os 3.12-3.15
Ho 0.1829 0.0000 0.6093 [4 per cell]  1 Ge 2.89, 4 Si 2.98-3.07, 2 Os 3.19
Si 0.0032 0.5000 0.3761 [4 per cell]  1 Os 2.49, 1 Si 2.50
Ge 0.1424 0.5000 0.0628 [4 per cell]  3 Os 2.47-2.53, 1 Ge 2.69
Os 0.2261 0.5000 0.8651 [4 per cell]  3 Ge 2.47-2.53, 1 Si 2.49

Properties
Magnetization = 0.003 μB per atom

***

Which of them is the most stable, and which is the least stable? P) and Q), in that order.

***

P) First-principles (GGA-PBE) data for a geometry-optimized HoTmSiGeOs structure, as listed in the Open Quantum Materials Database.

Unit cell a=10.7073 b=4.2730 c=9.9212 alpha=90.00 beta=118.49 gamma=90.00
Last column: nearest neighbours and their distance in Å.
Space group C2/m (No. 12)
One atom of each set of equivalent atoms:
Ho 0.0069 0.0000 0.1808 [4 per cell]  2 Si 2.90, 4 Ge 3.04-3.11, 4 Os 3.10-3.15
Tm 0.1820 0.0000 0.6094 [4 per cell]  1 Ge 2.88, 4 Si 2.97-3.05, 2 Os 3.16
Si 0.0047 0.5000 0.3774 [4 per cell]  1 Si 2.48, 1 Os 2.48
Ge 0.1424 0.5000 0.0626 [4 per cell]  3 Os 2.47-2.53, 1 Ge 2.69
Os 0.2256 0.5000 0.8634 [4 per cell]  3 Ge 2.47-2.53, 1 Si 2.48

Properties
Magnetization = 0.002 μB per atom

***

Q) First-principles (GGA-PBE) data for a geometry-optimized HoTmSiGeOs structure, as listed in the Open Quantum Materials Database.

Unit cell a=10.5677 b=4.2114 c=10.0439 alpha=90.00 beta=118.12 gamma=90.00
Last column: nearest neighbours and their distance in Å.
Space group C2/m (No. 12)
One atom of each set of equivalent atoms:
Ho 0.1863 0.0000 0.1167 [4 per cell]  1 Si 2.88, 5 Ge 3.02-3.12, 2 Os 3.20
Tm 0.0050 0.0000 0.6724 [4 per cell]  2 Ge 2.89, 4 Si 2.98-3.06, 4 Os 3.01-3.15
Si 0.1416 0.5000 0.5593 [4 per cell]  3 Os 2.40-2.46, 1 Si 2.65
Ge 0.0142 0.5000 0.8744 [4 per cell]  1 Os 2.64, 1 Ge 2.68, 2 Tm 2.89
Os 0.2341 0.5000 0.3756 [4 per cell]  3 Si 2.40-2.46, 1 Ge 2.64

Properties
Magnetization = 0.001 μB per atom

***

Which of them is the most stable, and which is the least stable? Q) and P), in that order.

***

P) First-principles (GGA-PBE) data for a geometry-optimized HoTmSiGeOs structure, as listed in the Open Quantum Materials Database.

Unit cell a=10.6162 b=4.2085 c=10.0480 alpha=90.00 beta=118.43 gamma=90.00
Last column: nearest neighbours and their distance in Å.
Space group C2/m (No. 12)
One atom of each set of equivalent atoms:
Ho 0.0074 0.0000 0.1748 [4 per cell]  2 Ge 2.90, 4 Si 2.99-3.07, 4 Os 3.02-3.16
Tm 0.1848 0.0000 0.6167 [4 per cell]  1 Si 2.87, 5 Ge 3.01-3.16, 2 Os 3.19
Si 0.1431 0.5000 0.0599 [4 per cell]  3 Os 2.40-2.46, 1 Si 2.68
Ge 0.0143 0.5000 0.3760 [4 per cell]  1 Os 2.63, 1 Ge 2.65, 2 Ho 2.90
Os 0.2330 0.5000 0.8746 [4 per cell]  3 Si 2.40-2.46, 1 Ge 2.63

Properties
Magnetization = 0.003 μB per atom

***

Q) First-principles (GGA-PBE) data for a geometry-optimized HoTmSiGeOs structure, as listed in the Open Quantum Materials Database.

Unit cell a=10.6523 b=4.2764 c=9.9237 alpha=90.00 beta=118.23 gamma=90.00
Last column: nearest neighbours and their distance in Å.
Space group C2/m (No. 12)
One atom of each set of equivalent atoms:
Ho 0.1841 0.0000 0.1092 [4 per cell]  1 Ge 2.89, 4 Si 2.98-3.06, 2 Os 3.18
Tm 0.0043 0.0000 0.6789 [4 per cell]  2 Si 2.90, 4 Ge 3.03-3.10, 4 Os 3.09-3.13
Si 0.0044 0.5000 0.8762 [4 per cell]  1 Os 2.49, 1 Si 2.50
Ge 0.1413 0.5000 0.5626 [4 per cell]  3 Os 2.47-2.52, 1 Ge 2.66
Os 0.2267 0.5000 0.3649 [4 per cell]  3 Ge 2.47-2.52, 1 Si 2.49

Properties
Magnetization = 0.002 μB per atom

***

Which of them is the most stable, and which is the least stable? P) and Q), in that order.

***

P) First-principles (GGA-PBE) data for a geometry-optimized HoTmGe2Os structure, as listed in the Open Quantum Materials Database.

Unit cell a=10.7180 b=4.2842 c=10.0433 alpha=90.00 beta=118.07 gamma=90.00
Last column: nearest neighbours and their distance in Å.
Space group C2/m (No. 12)
One atom of each set of equivalent atoms:
Ho 0.0043 0.0000 0.1756 [4 per cell]  6 Ge 2.91-3.11, 4 Os 3.07-3.17
Tm 0.1830 0.0000 0.6153 [4 per cell]  6 Ge 2.88-3.20, 2 Os 3.17
Ge 0.0146 0.5000 0.3768 [4 per cell]  1 Os 2.61, 1 Ge 2.64, 2 Ho 2.91
Ge 0.1422 0.5000 0.0619 [4 per cell]  3 Os 2.46-2.54, 1 Ge 2.70
Os 0.2301 0.5000 0.8667 [4 per cell]  4 Ge 2.46-2.61

Properties
Magnetization = 0.003 μB per atom

***

Q) First-principles (GGA-PBE) data for a geometry-optimized HoTmGe2Os structure, as listed in the Open Quantum Materials Database.

Unit cell a=10.6742 b=4.2828 c=10.0437 alpha=90.00 beta=117.87 gamma=90.00
Last column: nearest neighbours and their distance in Å.
Space group C2/m (No. 12)
One atom of each set of equivalent atoms:
Ho 0.1841 0.0000 0.1152 [4 per cell]  6 Ge 2.89-3.18, 2 Os 3.18
Tm 0.0033 0.0000 0.6740 [4 per cell]  6 Ge 2.91-3.10, 4 Os 3.06-3.16
Ge 0.0143 0.5000 0.8753 [4 per cell]  1 Os 2.61, 1 Ge 2.66, 2 Tm 2.91
Ge 0.1409 0.5000 0.5612 [4 per cell]  3 Os 2.46-2.53, 1 Ge 2.67
Os 0.2306 0.5000 0.3678 [4 per cell]  4 Ge 2.46-2.61

Properties
Magnetization = 0.002 μB per atom

***

Which of them is the most stable, and which is the least stable? Q) and P), in that order.

***

P) First-principles (GGA-PBE) data for a geometry-optimized RbHoGeTe3 structure, as listed in the Open Quantum Materials Database.

Unit cell a=4.6322 b=16.1112 c=12.0791 alpha=90.00 beta=90.00 gamma=90.00
Last column: nearest neighbours and their distance in Å.
Space group Cmcm (No. 63)
One atom of each set of equivalent atoms:
Rb 0.0000 0.2477 0.2500 [4 per cell]  8 Te 3.83-4.07, 2 Ge 4.08
Ho 0.0000 0.0000 0.0000 [4 per cell]  6 Te 3.13-3.19
Ge 0.0000 0.4607 0.7500 [4 per cell]  4 Te 2.84-2.88
Te 0.0000 0.0633 0.7500 [4 per cell]  2 Ge 2.84
Te 0.0000 0.3730 0.5425 [8 per cell]  1 Ge 2.88, 2 Ho 3.13

Properties
Magnetization = 0.000 μB per atom

***

Q) First-principles (GGA-PBE) data for a geometry-optimized RbHoGeTe3 structure, as listed in the Open Quantum Materials Database.

Unit cell a=9.4258 b=4.3028 c=11.8570 alpha=90.00 beta=110.98 gamma=90.00
Last column: nearest neighbours and their distance in Å.
Space group P2_1/m (No. 11)
One atom of each set of equivalent atoms:
Rb 0.2283 0.2500 0.2786 [2 per cell]  7 Te 3.66-3.94, 1 Ge 3.76
Ho 0.3675 0.7500 0.8413 [2 per cell]  6 Te 3.05-3.11
Ge 0.1174 0.2500 0.5535 [2 per cell]  3 Te 2.70-2.87, 2 Ge 3.02
Te 0.1148 0.2500 0.7805 [2 per cell]  1 Ge 2.70
Te 0.3253 0.7500 0.5690 [2 per cell]  2 Ge 2.87, 1 Ho 3.11
Te 0.3877 0.7500 0.1042 [2 per cell]  3 Ho 3.05

Properties
Magnetization = 0.000 μB per atom

***

Which of them is the most stable, and which is the least stable? Q) and P), in that order.

***

P) First-principles (GGA-PBE) data for a geometry-optimized HoTlGeSe3 structure, as listed in the Open Quantum Materials Database.

Unit cell a=4.3532 b=14.4013 c=11.2919 alpha=90.00 beta=90.00 gamma=90.00
Last column: nearest neighbours and their distance in Å.
Space group Cmcm (No. 63)
One atom of each set of equivalent atoms:
Ho 0.0000 0.0000 0.0000 [4 per cell]  6 Se 2.91-2.95
Tl 0.0000 0.2714 0.2500 [4 per cell]  4 Se 3.26-3.55
Ge 0.0000 0.4502 0.7500 [4 per cell]  4 Se 2.65-2.69
Se 0.0000 0.0599 0.7500 [4 per cell]  2 Ge 2.69, 2 Ho 2.95
Se 0.0000 0.3691 0.5391 [8 per cell]  1 Ge 2.65, 2 Ho 2.91

Properties
Magnetization = 0.000 μB per atom

***

Q) First-principles (GGA-PBE) data for a geometry-optimized HoTlGeSe3 structure, as listed in the Open Quantum Materials Database.

Unit cell a=8.5128 b=4.0214 c=10.9800 alpha=90.00 beta=107.23 gamma=90.00
Last column: nearest neighbours and their distance in Å.
Space group P2_1/m (No. 11)
One atom of each set of equivalent atoms:
Ho 0.1398 0.2500 0.1573 [2 per cell]  6 Se 2.84-2.87
Tl 0.2616 0.7500 0.7242 [2 per cell]  5 Se 3.25-3.47, 1 Ge 3.47
Ge 0.3667 0.7500 0.4416 [2 per cell]  3 Se 2.51-2.64
Se 0.1099 0.2500 0.8925 [2 per cell]  3 Ho 2.84-2.86
Se 0.1596 0.2500 0.4231 [2 per cell]  2 Ge 2.64, 1 Ho 2.87
Se 0.3913 0.7500 0.2196 [2 per cell]  1 Ge 2.51

Properties
Magnetization = 0.001 μB per atom

***

Which of them is the most stable, and which is the least stable? Q) and P), in that order.